(1)
Entry from Alexandria via LeMat-Bulk: a relaxed structure of Ac4GeSb3 (PBE-GGA).

Cell and atoms, written as CIF:
```
data_Ac4GeSb3
_chemical_formula_sum 'Ac4 Ge1 Sb3'
_symmetry_space_group_name_H-M 'P m -3 m'
_symmetry_Int_Tables_number 221
_symmetry_space_group_name_Hall '-P 4 2 3'
_cell_length_a 6.729
_cell_length_b 6.729
_cell_length_c 6.729
_cell_angle_alpha 90.00
_cell_angle_beta 90.00
_cell_angle_gamma 90.00
loop_
_atom_site_label
_atom_site_type_symbol
_atom_site_fract_x
_atom_site_fract_y
_atom_site_fract_z
Ac1 Ac 0.000 0.000 0.000
Ac2 Ac 0.000 0.500 0.500
Ge1 Ge 0.500 0.500 0.500
Sb1 Sb 0.000 0.000 0.500
```

(2)
Entry from Alexandria via LeMat-Bulk: a relaxed structure of Na3FeBr (PBE-GGA).

Results
Polymorph energy (0 for the lowest one) ... 0.165 eV/atom

Cell and atoms, written as CIF:
```
data_Na3FeBr
_chemical_formula_sum 'Na3 Fe1 Br1'
_symmetry_space_group_name_H-M 'P m -3 m'
_symmetry_Int_Tables_number 221
_symmetry_space_group_name_Hall '-P 4 2 3'
_cell_length_a 5.683
_cell_length_b 5.683
_cell_length_c 5.683
_cell_angle_alpha 90.00
_cell_angle_beta 90.00
_cell_angle_gamma 90.00
loop_
_atom_site_label
_atom_site_type_symbol
_atom_site_fract_x
_atom_site_fract_y
_atom_site_fract_z
Na1 Na 0.000 0.000 0.500
Fe1 Fe 0.000 0.000 0.000
Br1 Br 0.500 0.500 0.500
```

no.,V (Å³/atom),E_form (uncorrected) (eV per atom)
1,38.1,-1.03
2,36.7,0.36